(1)
The following is a DFT calculation (PBE-GGA) of a geometry-optimized B3Pb6BrO10 structure.

abc: 7.391 11.193 17.578
angles: 90.00 90.00 90.00
Element x y z (fractional)
O1 0.727 0.998 0.919
O2 0.726 0.140 0.738
O3 0.388 0.250 0.344
O4 0.727 0.498 0.581
O5 0.236 0.401 0.541
O6 0.727 0.502 0.919
O7 0.344 0.896 0.534
O8 0.089 0.750 0.413
O9 0.727 0.002 0.581
O10 0.764 0.401 0.041
O11 0.656 0.896 0.034
O12 0.726 0.860 0.762
O13 0.726 0.640 0.762
O14 0.273 0.002 0.081
O15 0.764 0.599 0.459
O16 0.274 0.360 0.238
O17 0.911 0.250 0.587
O18 0.344 0.396 0.966
O19 0.344 0.104 0.966
O20 0.273 0.998 0.419
O21 0.344 0.604 0.534
O22 0.273 0.498 0.081
O23 0.764 0.901 0.459
O24 0.274 0.640 0.262
O25 0.612 0.750 0.656
O26 0.236 0.599 0.959
O27 0.726 0.360 0.738
O28 0.089 0.250 0.087
O29 0.656 0.396 0.466
O30 0.273 0.502 0.419
O31 0.911 0.750 0.913
O32 0.236 0.901 0.959
O33 0.656 0.104 0.466
O34 0.656 0.604 0.034
O35 0.274 0.860 0.262
O36 0.236 0.099 0.541
O37 0.274 0.140 0.238
O38 0.388 0.750 0.156
O39 0.764 0.099 0.041
O40 0.612 0.250 0.844
B1 0.717 0.500 0.501
B2 0.304 0.250 0.270
B3 0.283 0.000 0.499
B4 0.696 0.750 0.730
B5 0.717 0.000 0.999
B6 0.283 0.000 0.001
B7 0.696 0.250 0.770
B8 0.283 0.500 0.499
B9 0.717 0.000 0.501
B10 0.283 0.500 0.001
B11 0.304 0.750 0.230
B12 0.717 0.500 0.999
Pb1 0.038 0.919 0.341
Pb2 0.596 0.250 0.560
Pb3 0.478 0.437 0.845
Pb4 0.404 0.250 0.060
Pb5 0.596 0.750 0.940
Pb6 0.404 0.750 0.440
Pb7 0.522 0.437 0.345
Pb8 0.962 0.081 0.659
Pb9 0.089 0.250 0.475
Pb10 0.522 0.063 0.345
Pb11 0.962 0.581 0.841
Pb12 0.911 0.750 0.525
Pb13 0.522 0.937 0.155
Pb14 0.038 0.581 0.341
Pb15 0.478 0.563 0.655
Pb16 0.089 0.750 0.025
Pb17 0.522 0.563 0.155
Pb18 0.038 0.419 0.159
Pb19 0.038 0.081 0.159
Pb20 0.962 0.419 0.659
Pb21 0.911 0.250 0.975
Pb22 0.478 0.063 0.845
Pb23 0.962 0.919 0.841
Pb24 0.478 0.937 0.655
Br1 0.182 0.750 0.728
Br2 0.818 0.750 0.228
Br3 0.182 0.250 0.772
Br4 0.818 0.250 0.272

Properties
D(E_F) = 0.00 states/eV/cell
energy = -6.337 eV per atom

(2)
The following is a DFT calculation (PBE-GGA) of a geometry-optimized MgSnAu6 structure.

abc: 4.186 4.186 8.552
angles: 90.00 90.00 90.00
Element x y z (fractional)
Au1 0.500 0.000 0.738
Au2 0.500 0.500 0.500
Au3 0.500 0.000 0.262
Au4 0.000 0.500 0.262
Au5 0.000 0.500 0.738
Au6 0.500 0.500 0.000
Sn1 0.000 0.000 0.000
Mg1 0.000 0.000 0.500

Properties
D(E_F) = 2.05 states/eV/cell
energy of formation = -0.2083 eV/atom

(3)
The following is a DFT calculation (PBE-GGA) of a geometry-optimized TlReSeBr2 structure.

abc: 5.586 5.586 5.484
angles: 90.00 90.00 90.00
Element x y z (fractional)
Tl1 0.000 0.000 0.000
Re1 0.500 0.500 0.500
Se1 0.000 0.000 0.500
Br1 0.000 0.500 0.000
Br2 0.500 0.000 0.000

Properties
D(E_F) = 1.93 states/eV/cell
distance to the lowest polymorph of the same formula = 5.55 eV per formula unit

(4)
The following is a DFT calculation (PBE-GGA) of a geometry-optimized BeAl2CuAu4 structure.

abc: 4.416 4.416 7.680
angles: 73.29 73.29 60.00
Element x y z (fractional)
Cu1 0.000 0.000 0.000
Au1 0.617 0.617 0.148
Au2 0.131 0.131 0.608
Au3 0.869 0.869 0.392
Au4 0.383 0.383 0.852
Be1 0.500 0.500 0.500
Al1 0.255 0.255 0.236
Al2 0.745 0.745 0.764

Properties
D(E_F) = 2.11 states/eV/cell
energy of formation = -0.2281 eV/atom

(5)
The following is a DFT calculation (PBE-GGA) of a geometry-optimized EuTePd4 structure.

abc: 5.476 5.476 5.476
angles: 60.00 60.00 60.00
Element x y z (fractional)
Pd1 0.126 0.625 0.625
Pd2 0.625 0.625 0.126
Pd3 0.625 0.625 0.625
Pd4 0.625 0.126 0.625
Eu1 0.250 0.250 0.250
Te1 0.000 0.000 0.000

Properties
D(E_F) = 14.47 states/eV/cell
energy = -6.126 eV per atom

(6)
The following is a DFT calculation (PBE-GGA) of a geometry-optimized IrPd2Cl structure.

abc: 4.494 4.494 4.494
angles: 60.00 60.00 60.00
Element x y z (fractional)
Pd1 0.750 0.750 0.750
Pd2 0.250 0.250 0.250
Cl1 0.000 0.000 0.000
Ir1 0.500 0.500 0.500

Properties
D(E_F) = 6.10 states/eV/cell
distance to the lowest polymorph of the same formula = 0.10 eV per formula unit

(7)
The following is a DFT calculation (PBE-GGA) of a geometry-optimized Ce2ErCo structure.

abc: 3.555 5.888 9.537
angles: 90.00 90.00 107.51
Element x y z (fractional)
Er1 0.086 0.173 0.750
Er2 0.914 0.827 0.250
Ce1 0.361 0.721 0.937
Ce2 0.361 0.721 0.563
Ce3 0.639 0.279 0.437
Ce4 0.639 0.279 0.063
Co1 0.196 0.392 0.250
Co2 0.804 0.608 0.750

Properties
D(E_F) = 15.63 states/eV/cell
distance to the lowest polymorph of the same formula = 0.00 eV per formula unit
energy of formation = -0.1364 eV/atom

(8)
The following is a DFT calculation (PBE-GGA) of a geometry-optimized Ce2PrHg structure.

abc: 5.122 4.726 4.726
angles: 90.00 90.00 90.00
Element x y z (fractional)
Hg1 0.500 0.000 0.000
Ce1 0.000 0.500 0.000
Ce2 0.000 0.000 0.500
Pr1 0.500 0.500 0.500

Properties
D(E_F) = 11.70 states/eV/cell
distance to the lowest polymorph of the same formula = 0.00 eV per formula unit
energy of formation = -0.0881 eV/atom

(9)
The following is a DFT calculation (PBE-GGA) of a geometry-optimized BaCuSeO structure.

abc: 4.283 4.283 9.866
angles: 90.00 90.00 90.00
Element x y z (fractional)
Cu1 0.000 0.000 0.000
Cu2 0.500 0.500 0.000
Se1 0.500 0.000 0.870
Se2 0.000 0.500 0.130
O1 0.000 0.000 0.500
O2 0.500 0.500 0.500
Ba1 0.500 0.000 0.360
Ba2 0.000 0.500 0.640

Properties
D(E_F) = 7.53 states/eV/cell
distance to the lowest polymorph of the same formula = 0.32 eV per formula unit

(10)
The following is a DFT calculation (PBE-GGA) of a geometry-optimized K3Cu2Cl7 structure.

abc: 4.788 4.975 12.792
angles: 101.21 90.00 90.00
Element x y z (fractional)
Cl1 0.500 0.094 0.187
Cl2 0.500 0.906 0.813
Cl3 0.000 0.593 0.186
Cl4 0.000 0.000 0.000
Cl5 0.000 0.808 0.616
Cl6 0.000 0.407 0.814
Cl7 0.000 0.192 0.384
K1 0.500 0.322 0.644
K2 0.500 0.500 0.000
K3 0.500 0.678 0.356
Cu1 0.000 0.903 0.806
Cu2 0.000 0.097 0.194

Properties
D(E_F) = 3.33 states/eV/cell
distance to the lowest polymorph of the same formula = 0.23 eV per formula unit

(11)
The following is a DFT calculation (PBE-GGA) of a geometry-optimized PrSn2Te3 structure.

abc: 4.353 9.166 12.531
angles: 70.57 90.00 90.00
Element x y z (fractional)
Te1 0.750 0.669 0.011
Te2 0.750 0.470 0.360
Te3 0.250 0.331 0.989
Te4 0.250 0.530 0.640
Te5 0.750 0.940 0.672
Te6 0.250 0.060 0.328
Sn1 0.750 0.002 0.908
Sn2 0.750 0.742 0.516
Sn3 0.250 0.998 0.092
Sn4 0.250 0.258 0.484
Pr1 0.250 0.700 0.818
Pr2 0.750 0.300 0.182

Properties
D(E_F) = 1.55 states/eV/cell
energy = -4.316 eV per atom

(12)
The following is a DFT calculation (PBE-GGA) of a geometry-optimized FeMoRu2 structure.

abc: 2.743 2.743 7.371
angles: 90.00 90.00 90.03
Element x y z (fractional)
Mo1 0.500 0.500 0.750
Ru1 0.000 0.000 0.485
Ru2 0.000 0.000 0.015
Fe1 0.500 0.500 0.250

Properties
D(E_F) = 5.20 states/eV/cell
distance to the lowest polymorph of the same formula = 0.33 eV per formula unit
energy of formation = 0.1222 eV/atom